Version 1
Material: Ni2C
Method: DFT, PBE
State: optimized geometry

Values from the calculation:
space group = Amm2 (38)
V = 9.09 A^3/atom
total magnetic moment = 0.0 μB per formula unit
DOS(E_F) = 1.57 states/eV/f.u.

Cell: 2.9895 2.6138 6.9810 Å, 90.00 90.00 90.00°
With the nearest neighbours (Å) after each atom.
Positions (direct):
Ni1 0.0000 0.0000 0.0000  4 C 2.03
Ni2 0.0000 0.5000 0.5000  4 C 2.03
Ni3 0.5000 0.0000 0.2716  3 C 1.97-2.02
Ni4 0.5000 0.5000 0.7716  3 C 1.97-2.02
C1 0.5000 0.0000 0.5614  7 Ni 1.97-2.03
C2 0.5000 0.5000 0.0614  7 Ni 1.97-2.03

Version 2
Material: Ni2C
Method: DFT, PBE
State: optimized geometry

Values from the calculation:
space group = P6/mmm (191)
V = 9.91 A^3/atom
total magnetic moment = 1.3 μB per formula unit
DOS(E_F) = 4.31 states/eV/f.u.

Cell: 3.7860 3.7860 2.3955 Å, 90.00 90.00 120.00°
With the nearest neighbours (Å) after each atom.
Positions (direct):
Ni1 0.3333 0.6667 0.0000  5 Ni 2.19-2.40
Ni2 0.6667 0.3333 0.0000  5 Ni 2.19-2.40
C1 0.0000 0.0000 0.5000  2 C 2.40, 12 Ni 2.49

Most stable structure: version 1

Version 1
Material: Ni2C
Method: DFT, PBE
State: optimized geometry

Values from the calculation:
space group = R-3m (166)
V = 9.63 A^3/atom
total magnetic moment = 0.0 μB per formula unit
DOS(E_F) = 1.87 states/eV/f.u.

Cell: 2.8750 2.8750 12.1068 Å, 90.00 90.00 120.00°
With the nearest neighbours (Å) after each atom.
Positions (direct):
Ni1 0.0000 0.0000 0.2480  3 C 1.93
Ni2 0.0000 0.0000 0.7520  3 C 1.93
Ni3 0.3333 0.6667 0.4187  3 C 1.93
Ni4 0.3333 0.6667 0.9147  3 C 1.93
Ni5 0.6667 0.3333 0.0853  3 C 1.93
Ni6 0.6667 0.3333 0.5813  3 C 1.93
C1 0.0000 0.0000 0.5000  6 Ni 1.93
C2 0.3333 0.6667 0.1667  6 Ni 1.93
C3 0.6667 0.3333 0.8333  6 Ni 1.93

Version 2
Material: Ni2C
Method: DFT, PBE
State: optimized geometry

Values from the calculation:
space group = C2/m (12)
V = 9.73 A^3/atom
total magnetic moment = 0.0 μB per formula unit
DOS(E_F) = 1.68 states/eV/f.u.

Cell: 9.0379 2.5669 5.2119 Å, 90.00 105.16 90.00°
With the nearest neighbours (Å) after each atom.
Positions (direct):
Ni1 0.1394 0.0000 0.3421  2 C 1.93
Ni2 0.1498 0.0000 0.8125  2 C 1.92
Ni3 0.3502 0.5000 0.1875  2 C 1.92
Ni4 0.3606 0.5000 0.6579  2 C 1.93
Ni5 0.6394 0.5000 0.3421  2 C 1.93
Ni6 0.6498 0.5000 0.8125  2 C 1.92
Ni7 0.8502 0.0000 0.1875  2 C 1.92
Ni8 0.8606 0.0000 0.6579  2 C 1.93
C1 0.0025 0.5000 0.8641  1 C 1.43
C2 0.4975 0.0000 0.1359  1 C 1.43
C3 0.5025 0.0000 0.8641  1 C 1.43
C4 0.9975 0.5000 0.1359  1 C 1.43

Version 3
Material: Ni2C
Method: DFT, PBE
State: optimized geometry

Values from the calculation:
space group = P-31m (162)
V = 9.39 A^3/atom
total magnetic moment = 0.0 μB per formula unit
DOS(E_F) = 0.55 states/eV/f.u.

Cell: 4.8700 4.8700 4.1159 Å, 90.00 90.00 120.00°
With the nearest neighbours (Å) after each atom.
Positions (direct):
Ni1 0.0000 0.3364 0.2516  3 C 1.91-1.94
Ni2 0.0000 0.6636 0.7484  3 C 1.91-1.94
Ni3 0.3364 0.0000 0.2516  3 C 1.91-1.94
Ni4 0.3364 0.3364 0.7484  3 C 1.91-1.94
Ni5 0.6636 0.0000 0.7484  3 C 1.91-1.94
Ni6 0.6636 0.6636 0.2516  3 C 1.91-1.94
C1 0.0000 0.0000 0.0000  6 Ni 1.94
C2 0.3333 0.6667 0.5000  6 Ni 1.91
C3 0.6667 0.3333 0.5000  6 Ni 1.91

Most stable structure: version 3

Version 1
Material: Ni2C
Method: DFT, PBE
State: optimized geometry

Values from the calculation:
space group = I4_1/amd (141)
V = 9.23 A^3/atom
total magnetic moment = 0.0 μB per formula unit
DOS(E_F) = 2.18 states/eV/f.u.

Cell: 2.4747 2.4747 18.0931 Å, 90.00 90.00 90.00°
With the nearest neighbours (Å) after each atom.
Positions (direct):
Ni1 0.0000 0.2500 0.3115  4 C 2.09, 1 Ni 2.30
Ni2 0.0000 0.2500 0.4385  4 C 2.09, 1 Ni 2.30
Ni3 0.0000 0.7500 0.5615  4 C 2.09, 1 Ni 2.30
Ni4 0.0000 0.7500 0.6885  4 C 2.09, 1 Ni 2.30
Ni5 0.5000 0.2500 0.0615  4 C 2.09, 1 Ni 2.30
Ni6 0.5000 0.2500 0.1885  4 C 2.09, 1 Ni 2.30
Ni7 0.5000 0.7500 0.8115  4 C 2.09, 1 Ni 2.30
Ni8 0.5000 0.7500 0.9385  4 C 2.09, 1 Ni 2.30
C1 0.0000 0.2500 0.8750  8 Ni 2.09
C2 0.0000 0.7500 0.1250  8 Ni 2.09
C3 0.5000 0.2500 0.6250  8 Ni 2.09
C4 0.5000 0.7500 0.3750  8 Ni 2.09

Version 2
Material: Ni2C
Method: DFT, PBE
State: optimized geometry

Values from the calculation:
space group = P6_3/mmc (194)
V = 9.26 A^3/atom
total magnetic moment = 0.0 μB per formula unit
DOS(E_F) = 0.85 states/eV/f.u.

Cell: 2.6836 2.6836 8.9046 Å, 90.00 90.00 120.00°
With the nearest neighbours (Å) after each atom.
Positions (direct):
Ni1 0.3333 0.6667 0.1180  3 C 1.94
Ni2 0.3333 0.6667 0.3820  3 C 1.94
Ni3 0.6667 0.3333 0.6180  3 C 1.94
Ni4 0.6667 0.3333 0.8820  3 C 1.94
C1 0.0000 0.0000 0.2500  6 Ni 1.94
C2 0.0000 0.0000 0.7500  6 Ni 1.94

Most stable structure: version 2